This record from Alexandria via LeMat-Bulk describes an optimized crystal structure of Er6Se5. The functional is PBE.

Summary:
formation energy from raw total energies = -1.5211 eV/atom
magnetization = 0.00 μB per atom

Cell: 6.9116 6.9351 6.9062 Å, 120.14 99.78 70.22°
Fractional positions:
Er: 0.7465 0.7597 0.0000
Er: 0.2535 0.2403 0.0000
Er: 0.7597 0.0770 0.6744
Er: 0.2403 0.5974 0.6744
Er: 0.2403 0.9230 0.3256
Er: 0.7597 0.4026 0.3256
Se: 0.5000 0.5000 0.0000
Se: 0.0000 0.6634 0.3268
Se: 0.0000 0.3366 0.6732
Se: 0.5000 0.8252 0.6504
Se: 0.5000 0.1748 0.3496

=====

This record from Alexandria via LeMat-Bulk describes an optimized crystal structure of SmMg7Ag5. The functional is PBE.

Summary:
magnetization = 0.00 μB per atom

Cell: 5.6534 7.4748 7.4748 Å, 82.65 67.78 67.78°
Fractional positions:
Sm: 0.0049 0.9951 0.9951
Mg: 0.6561 0.3439 0.3439
Mg: 0.3421 0.6579 0.6579
Mg: 0.9911 0.3540 0.6639
Mg: 0.9911 0.6639 0.3540
Mg: 0.2808 0.2192 0.2192
Mg: 0.5063 0.7894 0.1980
Mg: 0.5063 0.1980 0.7894
Ag: 0.4996 0.0040 0.4933
Ag: 0.0030 0.0040 0.4933
Ag: 0.4996 0.4933 0.0040
Ag: 0.0030 0.4933 0.0040
Ag: 0.7161 0.7839 0.7839

=====

This record from Alexandria via LeMat-Bulk describes an optimized crystal structure of HfInAg. The functional is PBE.

Summary:
magnetization = 0.00 μB per atom

Cell: 3.2064 5.7101 7.8290 Å, 112.82 78.16 106.35°
Fractional positions:
Hf: 0.7241 0.2940 0.3237
Hf: 0.0175 0.8011 0.2429
Ag: 0.3354 0.7623 0.5688
Ag: 0.4064 0.3330 0.9978
In: 0.7046 0.8401 0.9087
In: 0.0371 0.2553 0.6580

=====

Total DFT energy (no corrections) values, unit eV/atom, following the record order: -5.594 -2.510 -5.219.
Calculated density values, unit Mg/m³, following the record order: 8.619 5.275 10.572.